Material: SnICl2
Method: DFT, GGA-PBE
State: relaxed

```
SnICl2
1.0
0.9249 -0.4686 5.2536
-3.9417 0.9226 3.5054
-2.1482 -4.0654 2.7447
Cl Sn I
2 1 1
direct
0.2500 0.2500 0.2500
0.7500 0.7500 0.7500
0.0000 0.0000 0.0000
0.5000 0.5000 0.5000
```

Output
As for the density of states at the Fermi level: 5.85 states/eV per cell. The total energy comes out at -2.50 eV/atom. Its space group is Fm-3m (225). The value obtained for the theoretical density is 4.84 g/cm³. For the uncorrected formation energy, the calculation gives -0.184 eV per atom.